Entry from Alexandria via LeMat-Bulk: a relaxed Li2TlCd2O4 crystal (PBE-GGA).

abc: 3.3288 6.8058 8.3037
angles: 135.14 90.00 104.16
Positions (direct):
O 0.4214 0.8428 0.6973
O 0.2418 0.4836 0.1537
O 0.7582 0.5164 0.8463
O 0.5786 0.1572 0.3027
Tl 0.0000 0.0000 0.0000
Cd 0.8233 0.6465 0.4225
Cd 0.1767 0.3535 0.5775
Li 0.3546 0.7092 0.0842
Li 0.6454 0.2908 0.9158

Computed properties:
E_form (uncorrected) in eV per atom: -1.12
E in eV per atom: -4.21
Total moment in Bohr magnetons per cell: 0.0
V in Å³/cell: 124.5

Entry from Alexandria via LeMat-Bulk: a relaxed Ta2BeRu crystal (PBE-GGA).

abc: 4.7292 4.7292 4.7292
angles: 130.08 130.08 73.28
Positions (direct):
Ta 0.5000 0.5000 0.0000
Ta 0.0000 0.0000 0.0000
Ru 0.7500 0.2500 0.5000
Be 0.2500 0.7500 0.5000

Computed properties:
E in eV per atom: -9.21
Total moment in Bohr magnetons per cell: 0.0
Energy of formation from the pure elements in eV/atom: -0.032
V in Å³/cell: 60.4